No. 1
LaNp4O12 | PBE | optimized geometry

Properties
M_tot: 7.00 μB per formula unit
Formation energy from raw total energies: -2.970 eV per atom
Calculated total energy: -0.72065 Ry/atom

a b c (Å): 8.402 8.402 8.231
angles (deg): 90.00 90.00 90.00
Space group I4/mmm (No. 139)
Inequivalent atoms, fractional coordinates:
La: 0.000 0.000 0.000 x2
Np: 0.250 0.250 0.250 x8
O: 0.000 0.235 0.199 x16
O: 0.222 0.222 0.500 x8

***

No. 2
La2NpO6 | PBE | optimized geometry

Properties
Relative energy among the computed polymorphs: 0 meV/atom
M_tot: 1.00 μB per formula unit
Formation energy from raw total energies: -3.245 eV per atom
Calculated total energy: -0.66762 Ry/atom

a b c (Å): 5.998 5.891 11.293
angles (deg): 90.00 122.02 90.00
Space group P2_1/c (No. 14)
Inequivalent atoms, fractional coordinates:
La: 0.210 0.001 0.210 x4
Np: 0.500 0.000 0.000 x2
O: 0.192 0.698 0.342 x4
O: 0.206 0.163 0.000 x4
O: 0.491 0.197 0.841 x4

***

No. 3
LaNp2O7 | PBE | optimized geometry

Properties
M_tot: 3.00 μB per formula unit
Formation energy from raw total energies: -2.976 eV per atom
Calculated total energy: -0.70027 Ry/atom

a b c (Å): 3.8598 3.8598 31.4107
angles (deg): 90.00 90.00 120.00
Space group R-3m (No. 166, hexagonal axes)
Inequivalent atoms, fractional coordinates:
La: 0.0000 0.0000 0.0000 x3
Np: 0.0000 0.0000 0.4344 x6
O: 0.0000 0.0000 0.0810 x6
O: 0.0000 0.0000 0.2192 x6
O: 0.0000 0.0000 0.3658 x6
O: 0.0000 0.0000 0.5000 x3

***

No. 4
La2NpO6 | PBE | optimized geometry

Properties
Relative energy among the computed polymorphs: 13 meV/atom
M_tot: 1.00 μB per formula unit
Formation energy from raw total energies: -3.232 eV per atom
Calculated total energy: -0.66665 Ry/atom

a b c (Å): 5.264 5.264 10.966
angles (deg): 90.00 90.00 90.00
Space group P4_2/mnm (No. 136)
Inequivalent atoms, fractional coordinates:
La: 0.000 0.000 0.167 x4
Np: 0.000 0.000 0.500 x2
O: 0.179 0.179 0.352 x8
O: 0.221 0.221 0.000 x4

***

No. 5
La3NpO | PBE | optimized geometry

Properties
M_tot: 5.37 μB per formula unit
Formation energy from raw total energies: -0.825 eV per atom
Calculated total energy: -0.54101 Ry/atom

a b c (Å): 5.102 5.102 5.102
angles (deg): 90.00 90.00 90.00
Space group Pm-3m (No. 221)
Inequivalent atoms, fractional coordinates:
La: 0.000 0.000 0.500 x3
Np: 0.500 0.500 0.500 x1
O: 0.000 0.000 0.000 x1

***

No. 6
La3NpO7 | PBE | optimized geometry

Properties
M_tot: 2.00 μB per formula unit
Formation energy from raw total energies: -3.396 eV per atom
Calculated total energy: -0.66672 Ry/atom

a b c (Å): 7.884 11.263 8.061
angles (deg): 90.00 90.00 90.00
Space group Cmcm (No. 63)
Inequivalent atoms, fractional coordinates:
La: 0.000 0.000 0.000 x4
La: 0.234 0.265 0.250 x8
Np: 0.000 0.500 0.000 x4
O: 0.000 0.129 0.750 x4
O: 0.000 0.135 0.250 x4
O: 0.000 0.421 0.250 x4
O: 0.202 0.377 0.528 x16

***

No. 7
La2Np2O7 | PBE | optimized geometry

Properties
M_tot: 6.00 μB per formula unit
Formation energy from raw total energies: -3.274 eV per atom
Calculated total energy: -0.71133 Ry/atom

a b c (Å): 11.144 11.144 11.144
angles (deg): 90.00 90.00 90.00
Space group Fd-3m (No. 227, origin choice 2)
Inequivalent atoms, fractional coordinates:
La: 0.000 0.000 0.000 x16
Np: 0.000 0.000 0.500 x16
O: 0.093 0.375 0.875 x48
O: 0.125 0.125 0.125 x8

***

No. 8
La2NpO8 | PBE | optimized geometry

Properties
M_tot: 3.04 μB per formula unit
Formation energy from raw total energies: -2.330 eV per atom
Calculated total energy: -0.58862 Ry/atom

a b c (Å): 12.031 4.280 7.125
angles (deg): 90.00 95.37 90.00
Space group C2/m (No. 12)
Inequivalent atoms, fractional coordinates:
La: 0.249 0.000 0.267 x4
Np: 0.000 0.500 0.000 x2
O: 0.041 0.500 0.752 x4
O: 0.051 0.000 0.122 x4
O: 0.171 0.500 0.058 x4
O: 0.219 0.000 0.587 x4